Entry 1:
The following is a PBE calculation of a geometry-optimized KV3H structure, from Alexandria via LeMat-Bulk.

a = 4.1632 Å, b = 4.1632 Å, c = 4.1632 Å
α = 90.00°, β = 90.00°, γ = 90.00°
Last column: nearest neighbours and their distance in Å.
Fractional coordinates of all 5 atoms:
K: 0.0000 0.0000 0.0000  12 V 2.94
V: 0.0000 0.5000 0.5000  2 H 2.08
V: 0.5000 0.0000 0.5000  2 H 2.08
V: 0.5000 0.5000 0.0000  2 H 2.08
H: 0.5000 0.5000 0.5000  6 V 2.08

Values from the calculation:
N(E_F)	5.68	states/eV/f.u.
offset from the most stable computed form	0	meV/atom
space group	No. 221
total moment	0.255	μB/atom

Entry 2:
The following is a PBE calculation of a geometry-optimized InGaRh structure, from Alexandria via LeMat-Bulk.

a = 5.1937 Å, b = 5.1937 Å, c = 5.1937 Å
α = 142.53°, β = 142.53°, γ = 54.03°
Last column: nearest neighbours and their distance in Å.
Fractional coordinates of all 3 atoms:
In: 0.0000 0.0000 0.0000  5 Ga 2.81-2.98, 5 Rh 2.91-2.92
Ga: 0.3040 0.3040 0.0000  4 Rh 2.60, 1 In 2.81
Rh: 0.6847 0.6847 0.0000  4 Ga 2.60, 4 In 2.91

Values from the calculation:
uncorrected energy	-14.109	eV for the cell shown
N(E_F)	1.34	states/eV/f.u.
space group	No. 107
total moment	0.000	μB/atom

Entry 3:
The following is a PBE calculation of a geometry-optimized CaPm2TcN4 structure, from Alexandria via LeMat-Bulk.

a = 6.3191 Å, b = 6.3191 Å, c = 11.9854 Å
α = 90.00°, β = 90.00°, γ = 147.57°
Last column: nearest neighbours and their distance in Å.
Fractional coordinates of all 16 atoms:
Ca: 0.1248 0.8752 0.7500  4 N 2.67
Ca: 0.8752 0.1248 0.2500  4 N 2.67
Pm: 0.3689 0.6311 0.5353  6 N 2.39-2.65
Pm: 0.3689 0.6311 0.9647  6 N 2.39-2.65
Pm: 0.6311 0.3689 0.0353  6 N 2.39-2.65
Pm: 0.6311 0.3689 0.4647  6 N 2.39-2.65
Tc: 0.1505 0.8495 0.2500  4 N 1.95-1.97
Tc: 0.8495 0.1505 0.7500  4 N 1.95-1.97
N: 0.0000 0.0000 0.0000  4 Pm 2.41
N: 0.0000 0.0000 0.5000  4 Pm 2.41
N: 0.2596 0.7404 0.1301  1 Tc 1.95
N: 0.2596 0.7404 0.3699  1 Tc 1.95
N: 0.4225 0.5775 0.7500  2 Tc 1.97
N: 0.5775 0.4225 0.2500  2 Tc 1.97
N: 0.7404 0.2596 0.6301  1 Tc 1.95
N: 0.7404 0.2596 0.8699  1 Tc 1.95

Values from the calculation:
N(E_F)	4.53	states/eV/f.u.
formation energy without anion corrections	-830	meV/atom
space group	No. 63
total moment	0.074	μB/atom

Entry 4:
The following is a PBE calculation of a geometry-optimized DyTmZnIn structure, from Alexandria via LeMat-Bulk.

a = 5.1617 Å, b = 5.1617 Å, c = 5.1617 Å
α = 60.00°, β = 60.00°, γ = 60.00°
Last column: nearest neighbours and their distance in Å.
Fractional coordinates of all 4 atoms:
Dy: 0.0000 0.0000 0.0000  4 In 3.16, 4 Zn 3.16
Tm: 0.5000 0.5000 0.5000  4 Zn 3.16, 4 In 3.16
Zn: 0.7500 0.7500 0.7500  4 Tm 3.16, 4 Dy 3.16
In: 0.2500 0.2500 0.2500  4 Tm 3.16, 4 Dy 3.16

Values from the calculation:
N(E_F)	3.70	states/eV/f.u.
offset from the most stable computed form	23	meV/atom
space group	No. 216
total moment	0.000	μB/atom

Entry 5:
The following is a PBE calculation of a geometry-optimized Sm2Er5Tm5 structure, from Alexandria via LeMat-Bulk.

a = 8.8739 Å, b = 8.8739 Å, c = 9.5647 Å
α = 122.58°, β = 122.58°, γ = 36.53°
Last column: nearest neighbours and their distance in Å.
Fractional coordinates of all 12 atoms:
Sm: 0.1256 0.1256 0.4550  3 Er 3.18-3.47, 2 Tm 3.20-3.48
Sm: 0.8744 0.8744 0.5450  3 Er 3.18-3.47, 2 Tm 3.20-3.48
Er: 0.3746 0.3746 0.0389  2 Er 3.19-3.47, 3 Tm 3.23-3.46
Er: 0.3755 0.3755 0.7065  3 Sm 3.18-3.47, 2 Er 3.19-3.47
Er: 0.5000 0.5000 0.5000  6 Tm 3.47-3.64, 4 Er 3.61-3.65, 4 Sm 3.67
Er: 0.6245 0.6245 0.2935  3 Sm 3.18-3.47, 2 Er 3.19-3.47
Er: 0.6254 0.6254 0.9611  2 Er 3.19-3.47, 3 Tm 3.23-3.46
Tm: 0.0000 0.0000 0.0000  4 Tm 3.47-3.65, 2 Sm 3.60, 8 Er 3.64-3.65
Tm: 0.1252 0.1252 0.7895  2 Sm 3.20-3.48, 3 Er 3.23-3.46
Tm: 0.2498 0.2498 0.2441  4 Tm 3.47-3.61, 7 Er 3.47-3.68, 3 Sm 3.64-3.68
Tm: 0.7502 0.7502 0.7559  4 Tm 3.47-3.61, 7 Er 3.47-3.68, 3 Sm 3.64-3.68
Tm: 0.8748 0.8748 0.2105  2 Sm 3.20-3.48, 3 Er 3.23-3.46

Values from the calculation:
N(E_F)	22.06	states/eV/f.u.
offset from the most stable computed form	48	meV/atom
space group	No. 12
total moment	0.001	μB/atom

Entry 6:
The following is a PBE calculation of a geometry-optimized Cs2BaSeBr6 structure, from Alexandria via LeMat-Bulk.

a = 9.1207 Å, b = 9.1207 Å, c = 9.1207 Å
α = 127.12°, β = 127.12°, γ = 78.05°
Last column: nearest neighbours and their distance in Å.
Fractional coordinates of all 10 atoms:
Cs: 0.2500 0.7500 0.5000  12 Br 4.08-4.57
Cs: 0.7500 0.2500 0.5000  12 Br 4.08-4.57
Ba: 0.0000 0.0000 0.0000  6 Br 3.14-3.16
Se: 0.5000 0.5000 0.0000  4 Br 2.59
Br: 0.2219 0.2219 0.0000  1 Ba 3.14
Br: 0.2749 0.2749 0.5498  1 Se 2.59
Br: 0.2749 0.7251 0.0000  1 Se 2.59
Br: 0.7251 0.2749 0.0000  1 Se 2.59
Br: 0.7251 0.7251 0.4502  1 Se 2.59
Br: 0.7781 0.7781 0.0000  1 Ba 3.14

Values from the calculation:
N(E_F)	0.00	states/eV/f.u.
formation energy without anion corrections	-1308	meV/atom
space group	No. 139
total moment	0.000	μB/atom

Entry 7:
The following is a PBE calculation of a geometry-optimized Pm2CdGa2 structure, from Alexandria via LeMat-Bulk.

a = 7.4217 Å, b = 7.4217 Å, c = 4.4791 Å
α = 90.00°, β = 90.00°, γ = 90.00°
Last column: nearest neighbours and their distance in Å.
Fractional coordinates of all 10 atoms:
Pm: 0.1728 0.3272 0.0000  6 Ga 3.08-3.17
Pm: 0.3272 0.8272 0.0000  6 Ga 3.08-3.17
Pm: 0.6728 0.1728 0.0000  6 Ga 3.08-3.17
Pm: 0.8272 0.6728 0.0000  6 Ga 3.08-3.17
Cd: 0.0000 0.0000 0.5000  4 Ga 2.93
Cd: 0.5000 0.5000 0.5000  4 Ga 2.93
Ga: 0.1261 0.6261 0.5000  1 Ga 2.65, 2 Cd 2.93
Ga: 0.3739 0.1261 0.5000  1 Ga 2.65, 2 Cd 2.93
Ga: 0.6261 0.8739 0.5000  1 Ga 2.65, 2 Cd 2.93
Ga: 0.8739 0.3739 0.5000  1 Ga 2.65, 2 Cd 2.93

Values from the calculation:
uncorrected energy	-38.404	eV for the cell shown
N(E_F)	4.63	states/eV/f.u.
space group	No. 127
total moment	0.000	μB/atom

Entry 8:
The following is a PBE calculation of a geometry-optimized LaScMn2 structure, from Alexandria via LeMat-Bulk.

a = 4.9511 Å, b = 4.9511 Å, c = 3.4148 Å
α = 90.00°, β = 90.00°, γ = 90.60°
Last column: nearest neighbours and their distance in Å.
Fractional coordinates of all 4 atoms:
La: 0.0000 0.0000 0.0000  8 Mn 3.01
Sc: 0.5000 0.5000 0.0000  8 Mn 3.01
Mn: 0.0000 0.5000 0.5000  4 La 3.01, 4 Sc 3.01
Mn: 0.5000 0.0000 0.5000  4 La 3.01, 4 Sc 3.01

Values from the calculation:
uncorrected energy	-28.586	eV for the cell shown
N(E_F)	5.19	states/eV/f.u.
space group	No. 65
total moment	1.403	μB/atom